(1)
An optimized crystal structure of Bi2SbOsC. Source: Alexandria via LeMat-Bulk, functional GGA-PBEsol.

Cell: 5.242 5.242 3.896 Å, 90.00 90.00 90.00°
Positions (direct):
Bi 0.000 0.500 0.000
Bi 0.500 0.000 0.000
Sb 0.000 0.000 0.500
Os 0.500 0.500 0.500
C 0.500 0.500 0.000

***

(2)
An optimized crystal structure of Hf3GeI. Source: Alexandria via LeMat-Bulk, functional GGA-PBEsol.

Cell: 5.115 5.115 5.115 Å, 90.00 90.00 90.00°
Positions (direct):
Hf 0.000 0.000 0.500
Hf 0.000 0.500 0.000
Hf 0.500 0.000 0.000
Ge 0.500 0.500 0.500
I 0.000 0.000 0.000

***

(3)
An optimized crystal structure of La2ZnCl. Source: Alexandria via LeMat-Bulk, functional GGA-PBEsol.

Cell: 7.289 7.289 7.289 Å, 33.81 33.81 33.81°
Positions (direct):
La 0.245 0.245 0.245
La 0.755 0.755 0.755
Zn 0.000 0.000 0.000
Cl 0.500 0.500 0.500

***

no.,density of states at the Fermi level (states/eV/cell),formation energy without anion corrections (eV per atom)
1,2.69,0.83
2,5.60,1.35
3,3.84,-0.89